Record 1
Below is a geometry-optimized SiAs2Pb structure, with properties calculated at the PBE-GGA level.

Properties
Spin magnetization: 0.00 Bohr magnetons per cell
ΔE to the lowest computed polymorph: 453.1 meV per atom

a b c (Å): 7.0009 7.0009 7.0009
angles (deg): 90.00 90.00 90.00
Atoms (fractional coordinates):
Si  0.0000  0.0000  0.0000
Si  0.0000  0.5000  0.5000
Si  0.5000  0.0000  0.5000
Si  0.5000  0.5000  0.0000
As  0.2500  0.2500  0.2500
As  0.2500  0.2500  0.7500
As  0.2500  0.7500  0.2500
As  0.2500  0.7500  0.7500
As  0.7500  0.2500  0.2500
As  0.7500  0.2500  0.7500
As  0.7500  0.7500  0.2500
As  0.7500  0.7500  0.7500
Pb  0.0000  0.0000  0.5000
Pb  0.0000  0.5000  0.0000
Pb  0.5000  0.0000  0.0000
Pb  0.5000  0.5000  0.5000


Record 2
Below is a geometry-optimized SiAsPb2 structure, with properties calculated at the PBE-GGA level.

Properties
Spin magnetization: 0.00 Bohr magnetons per cell
ΔE to the lowest computed polymorph: 0.0 meV per atom

a b c (Å): 3.6661 3.6661 27.0927
angles (deg): 90.00 90.00 120.00
Atoms (fractional coordinates):
Si  0.0000  0.0000  0.0000
Si  0.3333  0.6667  0.6667
Si  0.6667  0.3333  0.3333
As  0.0000  0.0000  0.7105
As  0.3333  0.6667  0.3772
As  0.6667  0.3333  0.0438
Pb  0.0000  0.0000  0.2474
Pb  0.0000  0.0000  0.4784
Pb  0.3333  0.6667  0.1451
Pb  0.3333  0.6667  0.9141
Pb  0.6667  0.3333  0.5808
Pb  0.6667  0.3333  0.8117


Record 3
Below is a geometry-optimized Si2AsPb structure, with properties calculated at the PBE-GGA level.

Properties
Spin magnetization: 0.00 Bohr magnetons per cell
ΔE to the lowest computed polymorph: 0.0 meV per atom

a b c (Å): 3.6824 3.6824 21.9487
angles (deg): 90.00 90.00 120.00
Atoms (fractional coordinates):
Si  0.0000  0.0000  0.0000
Si  0.0000  0.0000  0.2722
Si  0.3333  0.6667  0.6667
Si  0.3333  0.6667  0.9389
Si  0.6667  0.3333  0.3333
Si  0.6667  0.3333  0.6055
As  0.0000  0.0000  0.7296
As  0.3333  0.6667  0.3963
As  0.6667  0.3333  0.0629
Pb  0.0000  0.0000  0.5064
Pb  0.3333  0.6667  0.1731
Pb  0.6667  0.3333  0.8398


Record 4
Below is a geometry-optimized SiAsPb structure, with properties calculated at the PBE-GGA level.

Properties
Spin magnetization: 0.00 Bohr magnetons per cell
ΔE to the lowest computed polymorph: 244.8 meV per atom

a b c (Å): 3.6610 5.5363 13.9100
angles (deg): 90.00 90.00 90.00
Atoms (fractional coordinates):
Si  0.0000  0.0000  0.0000
Si  0.0000  0.5000  0.5000
Si  0.5000  0.0000  0.5000
Si  0.5000  0.5000  0.0000
As  0.0000  0.0000  0.3840
As  0.0000  0.5000  0.8840
As  0.5000  0.0000  0.8840
As  0.5000  0.5000  0.3840
Pb  0.0000  0.0000  0.6840
Pb  0.0000  0.5000  0.1840
Pb  0.5000  0.0000  0.1840
Pb  0.5000  0.5000  0.6840


Record 5
Below is a geometry-optimized SiAsPb2 structure, with properties calculated at the PBE-GGA level.

Properties
Spin magnetization: 0.00 Bohr magnetons per cell
ΔE to the lowest computed polymorph: 276.9 meV per atom

a b c (Å): 7.7532 7.7622 3.2947
angles (deg): 90.00 90.00 90.00
Atoms (fractional coordinates):
Si  0.0000  0.0000  0.0000
Si  0.5000  0.5000  0.0000
As  0.0000  0.5000  0.0000
As  0.5000  0.0000  0.0000
Pb  0.2500  0.2500  0.5000
Pb  0.2500  0.7500  0.5000
Pb  0.7500  0.2500  0.5000
Pb  0.7500  0.7500  0.5000


Record 6
Below is a geometry-optimized SiAsPb2 structure, with properties calculated at the PBE-GGA level.

Properties
Spin magnetization: 0.00 Bohr magnetons per cell
ΔE to the lowest computed polymorph: 122.5 meV per atom

a b c (Å): 3.4648 3.4648 8.2625
angles (deg): 90.00 90.00 90.00
Atoms (fractional coordinates):
Si  0.0000  0.0000  0.0000
As  0.5000  0.5000  0.1095
Pb  0.0000  0.0000  0.4028
Pb  0.5000  0.5000  0.7190


Record 7
Below is a geometry-optimized SiAs2Pb structure, with properties calculated at the PBE-GGA level.

Properties
Spin magnetization: 0.00 Bohr magnetons per cell
ΔE to the lowest computed polymorph: 481.1 meV per atom

a b c (Å): 4.4140 4.4140 9.0521
angles (deg): 90.00 90.00 90.00
Atoms (fractional coordinates):
Si  0.0000  0.0000  0.0000
Si  0.5000  0.5000  0.5000
As  0.0000  0.5000  0.2500
As  0.0000  0.5000  0.7500
As  0.5000  0.0000  0.2500
As  0.5000  0.0000  0.7500
Pb  0.0000  0.0000  0.5000
Pb  0.5000  0.5000  0.0000


Record 8
Below is a geometry-optimized SiAsPb structure, with properties calculated at the PBE-GGA level.

Properties
Spin magnetization: 0.00 Bohr magnetons per cell
ΔE to the lowest computed polymorph: 102.9 meV per atom

a b c (Å): 3.4675 3.4675 11.3646
angles (deg): 90.00 90.00 90.00
Atoms (fractional coordinates):
Si  0.0000  0.0000  0.0000
Si  0.5000  0.5000  0.5000
As  0.0000  0.0000  0.5826
As  0.5000  0.5000  0.0826
Pb  0.0000  0.0000  0.3155
Pb  0.5000  0.5000  0.8155


Record 9
Below is a geometry-optimized SiAsPb2 structure, with properties calculated at the PBE-GGA level.

Properties
Spin magnetization: 0.00 Bohr magnetons per cell
ΔE to the lowest computed polymorph: 206.7 meV per atom

a b c (Å): 3.6514 5.9197 9.6270
angles (deg): 90.00 90.00 90.00
Atoms (fractional coordinates):
Si  0.0000  0.0000  0.0000
Si  0.5000  0.5000  0.0000
As  0.0000  0.5000  0.1603
As  0.5000  0.0000  0.1603
Pb  0.0000  0.0000  0.4439
Pb  0.0000  0.5000  0.7427
Pb  0.5000  0.0000  0.7427
Pb  0.5000  0.5000  0.4439


Record 10
Below is a geometry-optimized Si2AsPb structure, with properties calculated at the PBE-GGA level.

Properties
Spin magnetization: 0.00 Bohr magnetons per cell
ΔE to the lowest computed polymorph: 143.5 meV per atom

a b c (Å): 3.2451 3.2451 7.9736
angles (deg): 90.00 90.00 90.00
Atoms (fractional coordinates):
Si  0.0000  0.0000  0.0000
Si  0.5000  0.5000  0.1538
As  0.0000  0.0000  0.3330
Pb  0.5000  0.5000  0.6765


Record 11
Below is a geometry-optimized SiAs2Pb structure, with properties calculated at the PBE-GGA level.

Properties
Spin magnetization: 0.00 Bohr magnetons per cell
ΔE to the lowest computed polymorph: 233.6 meV per atom

a b c (Å): 10.4936 3.5550 5.4095
angles (deg): 90.00 108.70 90.00
Atoms (fractional coordinates):
Si  0.0000  0.0000  0.0000
Si  0.5000  0.5000  0.0000
As  0.1900  0.5000  0.1459
As  0.4794  0.0000  0.3144
As  0.6900  0.0000  0.1459
As  0.9794  0.5000  0.3144
Pb  0.2636  0.0000  0.6679
Pb  0.7636  0.5000  0.6679


Record 12
Below is a geometry-optimized SiAsPb2 structure, with properties calculated at the PBE-GGA level.

Properties
Spin magnetization: 0.00 Bohr magnetons per cell
ΔE to the lowest computed polymorph: 244.7 meV per atom

a b c (Å): 6.4508 6.4508 13.0104
angles (deg): 90.00 90.00 90.00
Atoms (fractional coordinates):
Si  0.0000  0.0000  0.0000
Si  0.0000  0.5000  0.2500
Si  0.5000  0.0000  0.7500
Si  0.5000  0.5000  0.5000
As  0.0000  0.0000  0.5000
As  0.0000  0.5000  0.7500
As  0.5000  0.0000  0.2500
As  0.5000  0.5000  0.0000
Pb  0.2384  0.2500  0.1250
Pb  0.2500  0.7384  0.3750
Pb  0.2500  0.7616  0.8750
Pb  0.2616  0.2500  0.6250
Pb  0.7384  0.7500  0.6250
Pb  0.7500  0.2384  0.8750
Pb  0.7500  0.2616  0.3750
Pb  0.7616  0.7500  0.1250


Record 13
Below is a geometry-optimized Si2AsPb structure, with properties calculated at the PBE-GGA level.

Properties
Spin magnetization: 0.00 Bohr magnetons per cell
ΔE to the lowest computed polymorph: 149.2 meV per atom

a b c (Å): 9.3296 3.5598 5.6037
angles (deg): 90.00 109.68 90.00
Atoms (fractional coordinates):
Si  0.2310  0.0000  0.1455
Si  0.2690  0.5000  0.8545
Si  0.7310  0.5000  0.1455
Si  0.7690  0.0000  0.8545
As  0.0000  0.5000  0.0000
As  0.5000  0.0000  0.0000
Pb  0.0000  0.0000  0.5000
Pb  0.5000  0.5000  0.5000


Record 14
Below is a geometry-optimized SiAsPb structure, with properties calculated at the PBE-GGA level.

Properties
Spin magnetization: 0.00 Bohr magnetons per cell
ΔE to the lowest computed polymorph: 417.2 meV per atom

a b c (Å): 6.8251 6.8251 6.8251
angles (deg): 90.00 90.00 90.00
Atoms (fractional coordinates):
Si  0.0000  0.0000  0.0000
Si  0.0000  0.5000  0.5000
Si  0.5000  0.0000  0.5000
Si  0.5000  0.5000  0.0000
As  0.2500  0.2500  0.7500
As  0.2500  0.7500  0.2500
As  0.7500  0.2500  0.2500
As  0.7500  0.7500  0.7500
Pb  0.0000  0.0000  0.5000
Pb  0.0000  0.5000  0.0000
Pb  0.5000  0.0000  0.0000
Pb  0.5000  0.5000  0.5000


Record 15
Below is a geometry-optimized SiAsPb structure, with properties calculated at the PBE-GGA level.

Properties
Spin magnetization: 0.00 Bohr magnetons per cell
ΔE to the lowest computed polymorph: 0.0 meV per atom

a b c (Å): 3.7063 3.7063 5.9926
angles (deg): 90.00 90.00 120.00
Atoms (fractional coordinates):
Si  0.0000  0.0000  0.0000
As  0.6667  0.3333  0.2032
Pb  0.3333  0.6667  0.6249


Record 16
Below is a geometry-optimized SiAs2Pb structure, with properties calculated at the PBE-GGA level.

Properties
Spin magnetization: 0.00 Bohr magnetons per cell
ΔE to the lowest computed polymorph: 405.2 meV per atom

a b c (Å): 3.9535 5.1402 9.0260
angles (deg): 90.00 90.00 90.00
Atoms (fractional coordinates):
Si  0.0000  0.0000  0.0000
Si  0.5000  0.5000  0.0000
As  0.0000  0.0000  0.5377
As  0.0000  0.5000  0.8348
As  0.5000  0.0000  0.8348
As  0.5000  0.5000  0.5377
Pb  0.0000  0.5000  0.2887
Pb  0.5000  0.0000  0.2887


Record 17
Below is a geometry-optimized SiAs2Pb structure, with properties calculated at the PBE-GGA level.

Properties
Spin magnetization: 0.00 Bohr magnetons per cell
ΔE to the lowest computed polymorph: 44.8 meV per atom

a b c (Å): 3.5108 3.9958 14.8482
angles (deg): 90.00 90.00 90.00
Atoms (fractional coordinates):
Si  0.0000  0.0000  0.0000
Si  0.0000  0.5000  0.5000
As  0.0000  0.0000  0.4023
As  0.0000  0.5000  0.9023
As  0.5000  0.0000  0.1036
As  0.5000  0.5000  0.6036
Pb  0.5000  0.0000  0.7391
Pb  0.5000  0.5000  0.2391


Record 18
Below is a geometry-optimized SiAs2Pb structure, with properties calculated at the PBE-GGA level.

Properties
Spin magnetization: 0.00 Bohr magnetons per cell
ΔE to the lowest computed polymorph: 208.7 meV per atom

a b c (Å): 3.4565 3.7481 14.1802
angles (deg): 90.00 90.00 90.00
Atoms (fractional coordinates):
Si  0.0000  0.0000  0.0000
Si  0.5000  0.5000  0.5000
As  0.0000  0.0000  0.4364
As  0.0000  0.5000  0.6316
As  0.5000  0.0000  0.1316
As  0.5000  0.5000  0.9364
Pb  0.0000  0.5000  0.2553
Pb  0.5000  0.0000  0.7553


Record 19
Below is a geometry-optimized SiAs2Pb structure, with properties calculated at the PBE-GGA level.

Properties
Spin magnetization: 0.00 Bohr magnetons per cell
ΔE to the lowest computed polymorph: 525.0 meV per atom

a b c (Å): 7.0031 7.0031 7.0031
angles (deg): 90.00 90.00 90.00
Atoms (fractional coordinates):
Si  0.0000  0.0000  0.0000
Si  0.0000  0.5000  0.5000
Si  0.5000  0.0000  0.5000
Si  0.5000  0.5000  0.0000
As  0.0000  0.0000  0.5000
As  0.0000  0.5000  0.0000
As  0.2500  0.2500  0.2500
As  0.2500  0.7500  0.7500
As  0.5000  0.0000  0.0000
As  0.5000  0.5000  0.5000
As  0.7500  0.2500  0.7500
As  0.7500  0.7500  0.2500
Pb  0.2500  0.2500  0.7500
Pb  0.2500  0.7500  0.2500
Pb  0.7500  0.2500  0.2500
Pb  0.7500  0.7500  0.7500


Record 20
Below is a geometry-optimized SiAsPb2 structure, with properties calculated at the PBE-GGA level.

Properties
Spin magnetization: 0.00 Bohr magnetons per cell
ΔE to the lowest computed polymorph: 356.1 meV per atom

a b c (Å): 7.3179 7.3179 7.3179
angles (deg): 90.00 90.00 90.00
Atoms (fractional coordinates):
Si  0.0000  0.0000  0.0000
Si  0.0000  0.5000  0.5000
Si  0.5000  0.0000  0.5000
Si  0.5000  0.5000  0.0000
As  0.2500  0.2500  0.2500
As  0.2500  0.7500  0.7500
As  0.7500  0.2500  0.7500
As  0.7500  0.7500  0.2500
Pb  0.0000  0.0000  0.5000
Pb  0.0000  0.5000  0.0000
Pb  0.2500  0.2500  0.7500
Pb  0.2500  0.7500  0.2500
Pb  0.5000  0.0000  0.0000
Pb  0.5000  0.5000  0.5000
Pb  0.7500  0.2500  0.2500
Pb  0.7500  0.7500  0.7500


Number 1: uncorrected formation energy 0.4854 eV per atom, electronic total energy -4.122 eV per atom, DOS(E_F) 0.5468 states/eV/atom. Number 2: uncorrected formation energy 0.0978 eV per atom, electronic total energy -4.274 eV per atom, DOS(E_F) 0.3634 states/eV/atom. Number 3: uncorrected formation energy 0.2489 eV per atom, electronic total energy -4.552 eV per atom, DOS(E_F) 0.4703 states/eV/atom. Number 4: uncorrected formation energy 0.3725 eV per atom, electronic total energy -4.221 eV per atom, DOS(E_F) 0.2579 states/eV/atom. Number 5: uncorrected formation energy 0.3748 eV per atom, electronic total energy -3.998 eV per atom, DOS(E_F) 0.4861 states/eV/atom. Number 6: uncorrected formation energy 0.2203 eV per atom, electronic total energy -4.152 eV per atom, DOS(E_F) 0.3899 states/eV/atom. Number 7: uncorrected formation energy 0.5134 eV per atom, electronic total energy -4.094 eV per atom, DOS(E_F) 0.5246 states/eV/atom. Number 8: uncorrected formation energy 0.2307 eV per atom, electronic total energy -4.363 eV per atom, DOS(E_F) 0.2721 states/eV/atom. Number 9: uncorrected formation energy 0.3045 eV per atom, electronic total energy -4.068 eV per atom, DOS(E_F) 0.5432 states/eV/atom. Number 10: uncorrected formation energy 0.3923 eV per atom, electronic total energy -4.409 eV per atom, DOS(E_F) 0.1689 states/eV/atom. Number 11: uncorrected formation energy 0.2659 eV per atom, electronic total energy -4.342 eV per atom, DOS(E_F) 0.3643 states/eV/atom. Number 12: uncorrected formation energy 0.3425 eV per atom, electronic total energy -4.030 eV per atom, DOS(E_F) 0.4862 states/eV/atom. Number 13: uncorrected formation energy 0.3981 eV per atom, electronic total energy -4.403 eV per atom, DOS(E_F) 0.3835 states/eV/atom. Number 14: uncorrected formation energy 0.5449 eV per atom, electronic total energy -4.049 eV per atom, DOS(E_F) 0.6995 states/eV/atom. Number 15: uncorrected formation energy 0.1277 eV per atom, electronic total energy -4.466 eV per atom, DOS(E_F) 0.3386 states/eV/atom. Number 16: uncorrected formation energy 0.4375 eV per atom, electronic total energy -4.170 eV per atom, DOS(E_F) 0.2631 states/eV/atom. Number 17: uncorrected formation energy 0.0771 eV per atom, electronic total energy -4.531 eV per atom, DOS(E_F) 0.1615 states/eV/atom. Number 18: uncorrected formation energy 0.2410 eV per atom, electronic total energy -4.367 eV per atom, DOS(E_F) 0.5038 states/eV/atom. Number 19: uncorrected formation energy 0.5572 eV per atom, electronic total energy -4.050 eV per atom, DOS(E_F) 1.0744 states/eV/atom. Number 20: uncorrected formation energy 0.4539 eV per atom, electronic total energy -3.918 eV per atom, DOS(E_F) 0.1887 states/eV/atom.